{
  "formula": "Co5Ag3",
  "functional": "PBE",
  "state": "relaxed",
  "delta_e_f_mev_per_atom": 579,
  "de_polymorph_mev_per_atom": 111.2,
  "vol_a3_per_cell": 233.60,
  "cell": [[-1.761, 2.708, 7.098], [3.159, -7.086, -0.798], [4.053, 1.770, 0.331]],
  "species": ["Ag", "Co", "Co", "Ag", "Co", "Ag", "Ag", "Co", "Co", "Co", "Co", "Ag", "Ag", "Co", "Co", "Co"],
  "fractional_positions": [[0.610, 0.610, 0.750], [0.823, 0.823, 0.250], [0.333, 0.667, 0.000], [0.000, 0.390, 0.750], [0.177, 0.177, 0.750], [0.610, 0.000, 0.250], [0.390, 0.000, 0.750], [0.000, 0.177, 0.250], [0.823, 0.000, 0.750], [0.667, 0.333, 0.500], [0.667, 0.333, 0.000], [0.390, 0.390, 0.250], [0.000, 0.610, 0.250], [0.000, 0.823, 0.750], [0.333, 0.667, 0.500], [0.177, 0.000, 0.250]]
}